# 1
Here is a relaxed structure of CaZrPS2 from the Alexandria database. Energies are from GGA-PBE.

Structure (POSCAR):
```
CaZrPS2
1.0
-1.898 -0.339 4.593
-0.373 -4.940 -0.519
4.667 -0.550 1.888
S P Ca Zr
2 1 1 1
Direct
0.500 0.000 0.000
0.000 0.500 0.000
0.000 0.000 0.500
0.500 0.500 0.500
0.000 0.000 0.000
```

Output
**DOS(E_F)**: 1.986 states/eV per cell
**Theoretical density**: 2.99 g/cm³
**Total energy**: -5.8480 eV per atom



# 2
Here is a relaxed structure of Nd2Sm5Tl5 from the Alexandria database. Energies are from GGA-PBE.

Structure (POSCAR):
```
Nd2Sm5Tl5
1.0
-3.172 0.626 -4.021
-1.111 -5.545 3.324
-5.956 9.394 6.162
Nd Tl Sm
2 5 5
Direct
0.061 0.123 0.766
0.939 0.877 0.234
0.268 0.537 0.216
0.000 0.000 0.000
0.732 0.463 0.784
0.844 0.687 0.532
0.156 0.313 0.468
0.500 0.000 0.500
0.347 0.694 0.989
0.653 0.306 0.011
0.346 0.691 0.709
0.654 0.309 0.291
```

Output
**DOS(E_F)**: 10.924 states/eV per cell
**Formation energy**: -2.72 eV per formula unit
**Theoretical density**: 9.15 g/cm³
**Total energy**: -3.9735 eV per atom



# 3
Here is a relaxed structure of Tb2YRh from the Alexandria database. Energies are from GGA-PBE.

Structure (POSCAR):
```
Tb2YRh
1.0
3.839 0.000 0.000
1.919 3.325 0.000
1.919 1.108 9.150
Rh Y Tb
1 1 2
Direct
0.666 0.666 0.002
0.501 0.501 0.497
0.273 0.273 0.180
0.060 0.060 0.821
```

Output
**DOS(E_F)**: 4.603 states/eV per cell
**Formation energy**: -1.34 eV per formula unit
**Theoretical density**: 7.25 g/cm³
**Total energy**: -6.1046 eV per atom



# 4
Here is a relaxed structure of GaAgS6 from the Alexandria database. Energies are from GGA-PBE.

Structure (POSCAR):
```
GaAgS6
1.0
7.838 -1.479 -3.475
-1.433 10.058 0.356
-4.258 0.195 4.981
Ga S Ag
1 6 1
Direct
0.000 0.000 0.000
0.831 0.437 0.611
0.169 0.563 0.389
0.434 0.738 0.842
0.566 0.262 0.158
0.525 0.923 0.740
0.475 0.077 0.260
0.500 0.500 0.500
```

Output
**DOS(E_F)**: 0.070 states/eV per cell
**Theoretical density**: 2.60 g/cm³
**Total energy**: -3.8016 eV per atom



# 5
Here is a relaxed structure of LaNd6Dy8 from the Alexandria database. Energies are from GGA-PBE.

Structure (POSCAR):
```
LaNd6Dy8
1.0
7.931 0.000 4.567
2.650 7.475 4.567
0.231 0.163 8.767
Dy La Nd
8 1 6
Direct
0.284 0.252 0.576
0.252 0.888 0.576
0.716 0.748 0.424
0.888 0.284 0.576
0.577 0.577 0.270
0.423 0.423 0.730
0.112 0.716 0.424
0.748 0.112 0.424
0.000 0.000 0.000
0.536 0.230 0.131
0.770 0.897 0.869
0.230 0.103 0.131
0.103 0.536 0.131
0.897 0.464 0.869
0.464 0.770 0.869
```

Output
**DOS(E_F)**: 22.509 states/eV per cell
**Formation energy**: 1.88 eV per formula unit
**Theoretical density**: 7.53 g/cm³
**Total energy**: -4.5645 eV per atom



# 6
Here is a relaxed structure of La4Dy2Ho5 from the Alexandria database. Energies are from GGA-PBE.

Structure (POSCAR):
```
La4Dy2Ho5
1.0
-2.855 -2.201 0.676
3.052 -5.942 -6.454
8.989 -7.499 3.575
La Ho Dy
4 5 2
Direct
0.019 0.287 0.038
0.826 0.977 0.650
0.981 0.713 0.962
0.174 0.023 0.350
0.243 0.348 0.485
0.876 0.270 0.752
0.500 0.000 0.000
0.124 0.730 0.248
0.757 0.652 0.515
0.389 0.575 0.777
0.611 0.425 0.223
```

Output
**DOS(E_F)**: 16.153 states/eV per cell
**Formation energy**: 0.77 eV per formula unit
**Theoretical density**: 7.63 g/cm³
**Total energy**: -4.6391 eV per atom



# 7
Here is a relaxed structure of ErTmPSe from the Alexandria database. Energies are from GGA-PBE.

Structure (POSCAR):
```
ErTmPSe
1.0
3.919 -0.001 0.000
-1.959 3.394 0.000
-1.959 -1.131 6.882
P Er Tm Se
1 1 1 1
Direct
0.307 0.551 0.873
0.488 0.142 0.645
0.117 0.957 0.089
0.966 0.381 0.362
```

Output
**DOS(E_F)**: 2.385 states/eV per cell
**Theoretical density**: 8.09 g/cm³
**Total energy**: -6.1721 eV per atom



# 8
Here is a relaxed structure of Nd12Tl6Ru from the Alexandria database. Energies are from GGA-PBE.

Structure (POSCAR):
```
Nd12Tl6Ru
1.0
-1.716 -6.391 5.478
7.262 2.293 3.974
-4.839 5.729 4.190
Ru Tl Nd
1 6 12
Direct
0.000 0.000 0.000
0.653 0.861 0.270
0.730 0.347 0.139
0.861 0.270 0.653
0.347 0.139 0.730
0.270 0.653 0.861
0.139 0.730 0.347
0.800 0.575 0.455
0.455 0.800 0.575
0.545 0.200 0.425
0.425 0.545 0.200
0.917 0.686 0.026
0.575 0.455 0.800
0.200 0.425 0.545
0.026 0.917 0.686
0.314 0.974 0.083
0.686 0.026 0.917
0.083 0.314 0.974
0.974 0.083 0.314
```

Output
**DOS(E_F)**: 19.381 states/eV per cell
**Formation energy**: -3.22 eV per formula unit
**Theoretical density**: 8.08 g/cm³
**Total energy**: -4.4164 eV per atom



# 9
Here is a relaxed structure of YScHg2 from the Alexandria database. Energies are from GGA-PBE.

Structure (POSCAR):
```
YScHg2
1.0
-3.920 -1.884 8.660
-0.659 -3.326 9.079
-1.150 0.189 9.621
Y Hg Sc
1 2 1
Direct
0.747 0.747 0.747
0.996 0.996 0.996
0.250 0.250 0.250
0.508 0.508 0.508
```

Output
**DOS(E_F)**: 2.959 states/eV per cell
**Formation energy**: -0.63 eV per formula unit
**Theoretical density**: 8.41 g/cm³
**Total energy**: -3.5074 eV per atom



# 10
Here is a relaxed structure of BeGeSbW from the Alexandria database. Energies are from GGA-PBE.

Structure (POSCAR):
```
BeGeSbW
1.0
3.584 0.000 0.000
0.000 3.582 0.000
0.000 0.000 10.402
Be Ge W Sb
2 2 2 2
Direct
0.000 0.500 0.730
0.000 0.000 0.230
0.500 0.000 0.698
0.500 0.500 0.198
0.500 0.500 0.890
0.500 0.000 0.390
0.000 0.500 0.498
0.000 0.000 0.998
```

Output
**DOS(E_F)**: 2.718 states/eV per cell
**Theoretical density**: 9.63 g/cm³
**Total energy**: -6.0803 eV per atom



total energy of number 3 (Tb2YRh)?
-6.1046 eV per atom